This record from Alexandria via LeMat-Bulk describes an optimized crystal structure of NaCr2Hg2O7. The functional is GGA+U.

Cell and atoms, written as CIF:
```
data_NaCr2Hg2O7
_symmetry_space_group_name_H-M 'P 1'
_symmetry_Int_Tables_number 1
_symmetry_space_group_name_Hall 'P 1'
_cell_length_a 5.7265
_cell_length_b 5.7265
_cell_length_c 8.4655
_cell_angle_alpha 70.23
_cell_angle_beta 70.23
_cell_angle_gamma 60.00
loop_
_atom_site_label
_atom_site_type_symbol
_atom_site_fract_x
_atom_site_fract_y
_atom_site_fract_z
Hg1 Hg 0.6567 0.6567 0.0300
O1 O 0.0000 0.0000 0.0000
Cr1 Cr 0.9232 0.9232 0.2305
O2 O 0.2043 0.8163 0.2970
Na1 Na 0.5000 0.5000 0.5000
O3 O 0.1837 0.7957 0.7030
O4 O 0.7957 0.3177 0.7030
O5 O 0.6823 0.2043 0.2970
Hg2 Hg 0.3433 0.3433 0.9700
Cr2 Cr 0.0768 0.0768 0.7695
O6 O 0.3177 0.1837 0.7030
O7 O 0.8163 0.6823 0.2970
```

Properties
DOS at the Fermi energy = 0.159 states/eV per atom
Calculated total energy = -63.674 eV per cell